Record 1
{"formula": "Nb2CuReCl", "functional": "PBE-GGA", "state": "relaxed", "cell": [[4.8734, 0.0000, 0.0000], [0.0000, 4.8734, 0.0000], [0.0000, 0.0000, 3.9560]], "species": ["Nb", "Nb", "Cu", "Re", "Cl"], "frac_coords": [[0.0000, 0.5000, 0.0000], [0.5000, 0.0000, 0.0000], [0.0000, 0.0000, 0.0000], [0.5000, 0.5000, 0.5000], [0.0000, 0.0000, 0.5000]], "dos_at_fermi_per_ev_fu": 5.84, "magnetic_moment_mub_per_fu": 0.0, "dft_energy_ev_per_fu": -30.46, "sg": "P4/mmm", "formation_energy_uncorrected_ev_per_atom": 1.614, "volume_a3_per_cell": 94}

***

Record 2
{"formula": "NbCuSCl2", "functional": "PBE-GGA", "state": "relaxed", "cell": [[4.5435, 0.0000, 0.0000], [0.0000, 4.5435, 0.0000], [0.0000, 0.0000, 4.7931]], "species": ["Nb", "Cu", "S", "Cl", "Cl"], "frac_coords": [[0.0000, 0.0000, 0.0000], [0.5000, 0.5000, 0.5000], [0.5000, 0.5000, 0.0000], [0.0000, 0.5000, 0.5000], [0.5000, 0.0000, 0.5000]], "dos_at_fermi_per_ev_fu": 5.01, "magnetic_moment_mub_per_fu": 2.7, "dft_energy_ev_per_fu": -20.44, "sg": "P4/mmm", "formation_energy_uncorrected_ev_per_atom": 0.310, "volume_a3_per_cell": 99}